NdTaFe2O6: relaxed, GGA+U.

Cell lengths 5.4765, 5.5068, 5.8276 Å; angles 61.90, 89.75, 60.33 degrees
Last column: nearest neighbours and their distance in Å.
Space group P1 (No. 1)
Asymmetric unit:
Nd 0.0000 0.0000 0.0000 (multiplicity 1)  5 O 2.29-2.49
Ta 0.5175 0.9701 0.5352 (multiplicity 1)  6 O 1.95-2.10
Fe 0.2185 0.5607 0.6477 (multiplicity 1)  4 O 2.04-2.25
Fe 0.7231 0.5501 0.1549 (multiplicity 1)  6 O 2.08-2.29
O 0.1511 0.0721 0.3534 (multiplicity 1)  1 Ta 1.95
O 0.3464 0.0743 0.8180 (multiplicity 1)  1 Ta 2.07, 2 Fe 2.07-2.29, 1 Nd 2.29
O 0.4535 0.4114 0.3480 (multiplicity 1)  1 Ta 1.97, 1 Fe 2.08
O 0.5768 0.5165 0.8138 (multiplicity 1)  2 Fe 2.04-2.27, 1 Ta 2.09, 1 Nd 2.29
O 0.7940 0.7751 0.3604 (multiplicity 1)  1 Ta 1.97
O 0.9018 0.7398 0.8356 (multiplicity 1)  1 Ta 2.10, 2 Fe 2.12-2.16, 1 Nd 2.31

ρ	6.9	g cm⁻³
DFT total energy	-81.68	eV/f.u.
total magnetization	8.0	μB/f.u.